The following is a DFT calculation (PBE-GGA) of a geometry-optimized LiTi structure.

Space-group type   No. 176
Fermi-level density of states   10.270 states/eV/cell
Electronic total energy   -4.555 eV/atom

a = 9.725 Å, b = 9.725 Å, c = 2.650 Å
α = 90.00°, β = 90.00°, γ = 120.00°
Positions (direct):
Li 0.061 0.283 0.250
Li 0.222 0.939 0.250
Li 0.283 0.222 0.750
Li 0.717 0.778 0.250
Li 0.778 0.061 0.750
Li 0.939 0.717 0.750
Ti 0.143 0.592 0.250
Ti 0.408 0.551 0.250
Ti 0.449 0.857 0.250
Ti 0.551 0.143 0.750
Ti 0.592 0.449 0.750
Ti 0.857 0.408 0.750